# ScPd2Br GGA-PBE optimized geometry
# uncorrected formation energy: -0.34 eV/atom
# electronic total energy: -39.5 eV per cell
# space group: I-42d
# E above lowest polymorph: 0.00 eV per formula unit
data_ScPd2Br
_chemical_formula_sum 'Sc2 Pd4 Br2'
_space_group_name_H-M_alt 'P 1'
_space_group_IT_number 1
_cell_length_a 6.026
_cell_length_b 6.026
_cell_length_c 6.026
_cell_angle_alpha 101.89
_cell_angle_beta 101.89
_cell_angle_gamma 126.01
loop_
_space_group_symop_operation_xyz
'x,y,z'
loop_
_atom_site_label
_atom_site_fract_x
_atom_site_fract_y
_atom_site_fract_z
_atom_site_occupancy
Sc1 0.000 0.000 0.000 1
Sc2 0.750 0.250 0.500 1
Pd1 0.119 0.625 0.994 1
Pd2 0.375 0.369 0.494 1
Pd3 0.631 0.125 0.006 1
Pd4 0.875 0.881 0.506 1
Br1 0.250 0.750 0.500 1
Br2 0.500 0.500 0.000 1

---

# CsNa16Cd12 GGA-PBE optimized geometry
# electronic total energy: -34.6 eV per cell
# energy relative to the elements: -0.059 eV/atom
# space group: Cm
data_CsNa16Cd12
_chemical_formula_sum 'Cs1 Na16 Cd12'
_space_group_name_H-M_alt 'P 1'
_space_group_IT_number 1
_cell_length_a 10.244
_cell_length_b 10.244
_cell_length_c 10.079
_cell_angle_alpha 107.73
_cell_angle_beta 107.73
_cell_angle_gamma 109.20
loop_
_space_group_symop_operation_xyz
'x,y,z'
loop_
_atom_site_label
_atom_site_fract_x
_atom_site_fract_y
_atom_site_fract_z
_atom_site_occupancy
Cs1 0.000 0.000 0.000 1
Na1 0.167 0.586 0.580 1
Na2 0.197 0.892 0.286 1
Na3 0.263 0.263 0.536 1
Na4 0.279 0.858 0.950 1
Na5 0.283 0.996 0.675 1
Na6 0.288 0.288 0.962 1
Na7 0.570 0.903 0.844 1
Na8 0.574 0.923 0.252 1
Na9 0.578 0.578 0.629 1
Na10 0.586 0.167 0.580 1
Na11 0.586 0.586 0.280 1
Na12 0.858 0.279 0.950 1
Na13 0.892 0.197 0.286 1
Na14 0.903 0.570 0.844 1
Na15 0.923 0.574 0.252 1
Na16 0.996 0.283 0.675 1
Cd1 0.221 0.586 0.084 1
Cd2 0.234 0.419 0.287 1
Cd3 0.389 0.579 0.887 1
Cd4 0.410 0.766 0.456 1
Cd5 0.419 0.234 0.287 1
Cd6 0.579 0.389 0.887 1
Cd7 0.586 0.221 0.084 1
Cd8 0.733 0.733 0.080 1
Cd9 0.747 0.932 0.599 1
Cd10 0.766 0.410 0.456 1
Cd11 0.932 0.747 0.599 1
Cd12 0.936 0.936 0.416 1